1.
## FeSiBi3 (GGA-PBE)

Data for an optimized crystal structure of FeSiBi3.

a = 5.076 Å, b = 5.076 Å, c = 5.076 Å
α = 90.00°, β = 90.00°, γ = 90.00°
Fractional coordinates of all 5 atoms:
Bi 0.000 0.000 0.500
Bi 0.000 0.500 0.000
Bi 0.500 0.000 0.000
Fe 0.000 0.000 0.000
Si 0.500 0.500 0.500

## Properties
Magnetic moment, μB per formula unit: 0.6
Calculated density, g/cm3: 9.0
Relative energy among the computed polymorphs, eV/atom: 0.000
Raw total energy, eV/f.u.: -21.9
Space-group type: Pm-3m (221)
E_form (uncorrected), eV per atom: 0.72
Volume, Å³/atom: 26.16

=====

2.
## PrErNi2 (GGA-PBE)

Data for an optimized crystal structure of PrErNi2.

a = 4.859 Å, b = 4.859 Å, c = 4.859 Å
α = 60.00°, β = 60.00°, γ = 60.00°
Fractional coordinates of all 4 atoms:
Ni 0.750 0.750 0.750
Ni 0.250 0.250 0.250
Er 0.000 0.000 0.000
Pr 0.500 0.500 0.500

## Properties
Magnetic moment, μB per formula unit: 0.0
Calculated density, g/cm3: 8.7
Relative energy among the computed polymorphs, eV/atom: 0.085
Raw total energy, eV/f.u.: -22.1
Space-group type: Fm-3m (225)
Volume, Å³/atom: 20.28